<w>
Here is crystalline SnSbTeI2 at its relaxed geometry from Alexandria via LeMat-Bulk. Energies are from GGA-PBE.

The value obtained for the spin magnetization is 0.374 Bohr magnetons per cell.

The space group is P4/mmm (No. 123) and the conventional cell measures 5.819, 5.819 and 6.140 Å, with angles of 90.00, 90.00 and 90.00 degrees. The asymmetric unit holds Sn at (0.000, 0.000, 0.000), Sb at (0.000, 0.000, 0.500), Te at (0.500, 0.500, 0.500) and I at (0.000, 0.500, 0.000).

<x>
Here is crystalline SnSbTeI2 at its relaxed geometry from Alexandria via LeMat-Bulk. Energies are from GGA-PBE.

The value obtained for the spin magnetization is 0.415 Bohr magnetons per cell.

The space group is P4/mmm (No. 123) and the conventional cell measures 5.875, 5.875 and 5.988 Å, with angles of 90.00, 90.00 and 90.00 degrees. The asymmetric unit holds Sn at (0.000, 0.000, 0.000), Sb at (0.500, 0.500, 0.500), Te at (0.500, 0.500, 0.000) and I at (0.000, 0.500, 0.500).

Preferred: <x>; penalty for the next structure: 0.181 eV/atom.

<w>
Here is crystalline TiSnSbI2 at its relaxed geometry from Alexandria via LeMat-Bulk. Energies are from GGA-PBE.

The value obtained for the spin magnetization is 0.154 Bohr magnetons per cell.

The space group is P4/mmm (No. 123) and the conventional cell measures 5.798, 5.798 and 5.888 Å, with angles of 90.00, 90.00 and 90.00 degrees. The asymmetric unit holds Ti at (0.000, 0.000, 0.000), Sn at (0.500, 0.500, 0.500), Sb at (0.500, 0.500, 0.000) and I at (0.000, 0.500, 0.500).

<x>
Here is crystalline TiSnSbI2 at its relaxed geometry from Alexandria via LeMat-Bulk. Energies are from GGA-PBE.

The value obtained for the spin magnetization is 1.052 Bohr magnetons per cell.

The space group is P4/mmm (No. 123) and the conventional cell measures 5.400, 5.400 and 5.686 Å, with angles of 90.00, 90.00 and 90.00 degrees. The asymmetric unit holds Ti at (0.000, 0.000, 0.000), Sn at (0.500, 0.500, 0.500), Sb at (0.000, 0.000, 0.500) and I at (0.000, 0.500, 0.000).

Preferred: <x>; penalty for the next structure: 0.756 eV/atom.